VASP calculation (GGA-PBE) on a geometry-optimized CaCl3 structure.

Electronic total energy (eV/atom): -3.4257
Space group: Cmmm (65)

Unit cell a=5.3649 b=5.3649 c=4.3425 alpha=90.00 beta=90.00 gamma=121.13
Positions (direct):
1 Ca 0.0000 0.0000 0.0000
2 Cl 0.2127 0.7873 0.5000
3 Cl 0.5000 0.5000 0.0000
4 Cl 0.7873 0.2127 0.5000

=====

VASP calculation (GGA-PBE) on a geometry-optimized CaCl structure.

Electronic total energy (eV/atom): -3.0936
Space group: Pm-3m (221)

Unit cell a=3.6476 b=3.6476 c=3.6476 alpha=90.00 beta=90.00 gamma=90.00
Positions (direct):
1 Ca 0.0000 0.0000 0.0000
2 Cl 0.5000 0.5000 0.5000

=====

VASP calculation (GGA-PBE) on a geometry-optimized CaCl structure.

Electronic total energy (eV/atom): -3.4996
Space group: P-62m (189)

Unit cell a=6.7402 b=6.7402 c=4.1236 alpha=90.00 beta=90.00 gamma=120.00
Positions (direct):
1 Ca 0.0000 0.0000 0.0000
2 Ca 0.3333 0.6667 0.5000
3 Ca 0.6667 0.3333 0.5000
4 Cl 0.0000 0.5555 0.0000
5 Cl 0.4445 0.4445 0.0000
6 Cl 0.5555 0.0000 0.0000

=====

VASP calculation (GGA-PBE) on a geometry-optimized Ca2Cl structure.

Space group: P6_3/mmc (194)
E above lowest polymorph (meV per atom): 358

Unit cell a=7.4683 b=7.4683 c=13.2338 alpha=90.00 beta=90.00 gamma=120.00
Positions (direct):
1 Ca 0.0000 0.0000 0.0000
2 Ca 0.0000 0.0000 0.5000
3 Ca 0.1640 0.3280 0.2500
4 Ca 0.1640 0.8360 0.2500
5 Ca 0.3280 0.1640 0.7500
6 Ca 0.6720 0.8360 0.2500
7 Ca 0.8360 0.1640 0.7500
8 Ca 0.8360 0.6720 0.7500
9 Cl 0.3333 0.6667 0.1200
10 Cl 0.3333 0.6667 0.3800
11 Cl 0.6667 0.3333 0.6200
12 Cl 0.6667 0.3333 0.8800

=====

VASP calculation (GGA-PBE) on a geometry-optimized CaCl structure.

Electronic total energy (eV/atom): -3.5527
Space group: Pmmn (59)

Unit cell a=4.0972 b=13.3587 c=6.7665 alpha=90.00 beta=90.00 gamma=90.00
Positions (direct):
1 Ca 0.2500 0.0464 0.2279
2 Ca 0.2500 0.4536 0.2279
3 Ca 0.2500 0.7500 0.1616
4 Ca 0.7500 0.2500 0.8384
5 Ca 0.7500 0.5464 0.7721
6 Ca 0.7500 0.9536 0.7721
7 Cl 0.2500 0.2500 0.1286
8 Cl 0.2500 0.6133 0.5019
9 Cl 0.2500 0.8867 0.5019
10 Cl 0.7500 0.1133 0.4981
11 Cl 0.7500 0.3867 0.4981
12 Cl 0.7500 0.7500 0.8714

=====

VASP calculation (GGA-PBE) on a geometry-optimized CaCl3 structure.

Electronic total energy (eV/atom): -3.4183
Space group: Cmcm (63)

Unit cell a=7.9923 b=7.9923 c=3.9632 alpha=90.00 beta=90.00 gamma=118.53
Positions (direct):
1 Ca 0.2459 0.7541 0.7500
2 Ca 0.7541 0.2459 0.2500
3 Cl 0.0365 0.3179 0.7500
4 Cl 0.3179 0.0365 0.2500
5 Cl 0.3830 0.6170 0.2500
6 Cl 0.6170 0.3830 0.7500
7 Cl 0.6821 0.9635 0.7500
8 Cl 0.9635 0.6821 0.2500